Record 1
An optimized crystal structure of LaTlTc2, computed with PBE.

Computed properties:
- symmetry = No. 160
- crystal system = trigonal
- magnetic moment (μB/f.u.) = 0.000
- E (eV/atom) = -6.535
- calculated density (g/cm3) = 10.619

a b c (Å): 9.9272 9.9272 9.9272
angles (deg): 18.31 18.31 18.31
Last column: nearest neighbours and their distance in Å.
Fractional positions:
La: 0.7407 0.7407 0.7407  3 Tc 3.11, 6 La 3.16
Tc: 0.9878 0.9878 0.9878  3 Tc 2.53
Tc: 0.2611 0.2611 0.2611  3 Tc 2.53
Tl: 0.5105 0.5105 0.5105  3 Tc 3.06, 6 Tl 3.16

---

Record 2
An optimized crystal structure of TmTh2Hg4, computed with PBE.

Computed properties:
- symmetry = No. 139
- crystal system = tetragonal
- magnetic moment (μB/f.u.) = 0.001
- E (eV/atom) = -3.125
- calculated density (g/cm3) = 12.097

a b c (Å): 5.1193 5.1193 8.3441
angles (deg): 107.86 107.86 90.00
Last column: nearest neighbours and their distance in Å.
Fractional positions:
Tm: 0.0000 0.0000 0.0000  8 Hg 3.02
Th: 0.7429 0.7429 0.4859  8 Hg 3.28-3.41, 4 Th 3.63
Th: 0.2571 0.2571 0.5141  8 Hg 3.28-3.41, 4 Th 3.63
Hg: 0.3932 0.8932 0.7864  2 Tm 3.02, 1 Hg 3.21, 2 Th 3.28
Hg: 0.8932 0.3932 0.7864  2 Tm 3.02, 1 Hg 3.21, 2 Th 3.28
Hg: 0.6068 0.1068 0.2136  2 Tm 3.02, 1 Hg 3.21, 2 Th 3.28
Hg: 0.1068 0.6068 0.2136  2 Tm 3.02, 1 Hg 3.21, 2 Th 3.28